# 1
! Tl2CrSiTe (PBE, optimized geometry); values from VASP
! **Total energy**: -17.99 eV per formula unit
&SYSTEM
  ibrav = 0, nat = 5, ntyp = 4
/
ATOMIC_SPECIES
Tl 204.38 Tl.upf
Cr 52.00 Cr.upf
Si 28.09 Si.upf
Te 127.60 Te.upf
ATOMIC_POSITIONS angstrom
Tl 0.000 3.196 0.000
Tl 3.196 0.000 0.000
Cr 0.000 0.000 2.522
Si 3.196 3.196 2.522
Te 0.000 0.000 0.000
CELL_PARAMETERS angstrom
6.391 0.000 0.000
0.000 6.391 0.000
0.000 0.000 5.045

# 2
! Tl2CrSiTe4 (PBE, optimized geometry); values from VASP
! **Total energy**: -32.97 eV per formula unit
&SYSTEM
  ibrav = 0, nat = 16, ntyp = 4
/
ATOMIC_SPECIES
Tl 204.38 Tl.upf
Cr 52.00 Cr.upf
Si 28.09 Si.upf
Te 127.60 Te.upf
ATOMIC_POSITIONS angstrom
Tl 2.467 5.179 1.976
Tl 4.111 8.632 8.556
Tl 2.467 5.179 17.765
Tl 4.111 8.632 24.345
Cr 0.822 1.726 3.290
Cr 5.756 12.085 23.031
Si 2.467 5.179 9.870
Si 4.111 8.632 16.451
Te 2.617 3.200 4.714
Te 3.960 6.653 11.294
Te 2.316 7.158 4.714
Te 2.316 3.200 15.027
Te 4.262 10.611 11.294
Te 4.262 6.653 21.607
Te 2.617 7.158 15.027
Te 3.960 10.611 21.607
CELL_PARAMETERS angstrom
0.000 6.906 13.161
3.289 0.000 13.161
3.289 6.906 0.000

# 3
! ThCrSi2 (PBE, optimized geometry); values from VASP
! **Total energy**: -24.50 eV per formula unit
&SYSTEM
  ibrav = 0, nat = 4, ntyp = 3
/
ATOMIC_SPECIES
Th 232.04 Th.upf
Cr 52.00 Cr.upf
Si 28.09 Si.upf
ATOMIC_POSITIONS angstrom
Th 0.000 0.000 0.000
Cr 0.000 0.000 9.141
Si 0.000 0.000 6.725
Si 0.000 0.000 11.558
CELL_PARAMETERS angstrom
2.445 1.412 6.094
-2.445 1.412 6.094
0.000 -2.824 6.094